--- w ---
Density functional theory data (PBE) for a relaxed SnBSe2Br crystal.

Unit cell a=4.5857 b=4.5857 c=4.9552 alpha=90.00 beta=90.00 gamma=90.00
Closest atoms and distances in Å follow each position.
Sites, in units of the cell vectors:
1 Se 0.0000 0.5000 0.0000  2 B 2.29
2 Se 0.5000 0.0000 0.0000  2 B 2.29
3 Br 0.0000 0.0000 0.5000  2 B 2.48
4 B 0.0000 0.0000 0.0000  4 Se 2.29, 2 Br 2.48
5 Sn 0.5000 0.5000 0.5000  4 Br 3.24, 8 Se 3.38



--- x ---
Density functional theory data (PBE) for a relaxed SnBSe2Br crystal.

Unit cell a=5.2757 b=5.2757 c=5.5765 alpha=90.00 beta=90.00 gamma=90.00
Closest atoms and distances in Å follow each position.
Sites, in units of the cell vectors:
1 Sn 0.0000 0.0000 0.0000  4 Se 2.64, 2 Br 2.79
2 B 0.5000 0.5000 0.5000  4 Br 3.73, 8 Se 3.84
3 Se 0.5000 0.0000 0.0000  2 Sn 2.64
4 Se 0.0000 0.5000 0.0000  2 Sn 2.64
5 Br 0.0000 0.0000 0.5000  2 Sn 2.79



Most favorable structure: w. The second most favorable one is 662 meV per atom above it.